[1]
Below is a relaxed CuNiRh2 crystal, with properties calculated at the PBE-GGA level.

Lattice parameters (Å, degrees): 6.641 6.641 5.359 51.71 51.71 90.00
Last column: magnetic moment on the atom in μB.
Atoms (fractional coordinates):
1 Rh 0.610 0.125 0.250  0.05
2 Rh 0.875 0.860 0.750  0.05
3 Rh 0.140 0.625 0.250  0.05
4 Ni 0.500 0.500 0.000  0.11
5 Ni 0.250 0.750 0.500  0.11
6 Cu 0.000 0.000 0.000  0.01
7 Rh 0.375 0.390 0.750  0.05
8 Cu 0.750 0.250 0.500  0.01

ΔH_f (0 K), eV/atom: 0.53
DFT total energy, Ry/atom: -0.412

---

[2]
Below is a relaxed NdIn2SnTe4 crystal, with properties calculated at the PBE-GGA level.

Lattice parameters (Å, degrees): 4.491 8.065 7.933 70.77 90.00 90.00
Atoms (fractional coordinates):
1 Sn 0.500 0.500 0.000
2 Te 0.000 0.743 0.746
3 In 0.000 0.000 0.000
4 Nd 0.000 0.500 0.500
5 In 0.500 0.000 0.500
6 Te 0.500 0.738 0.256
7 Te 0.000 0.257 0.254
8 Te 0.500 0.262 0.744

Uncorrected formation energy, meV/atom: -607.4
DFT total energy, Ry/atom: -0.291

---

[3]
Below is a relaxed AcCeEuSc crystal, with properties calculated at the PBE-GGA level.

Lattice parameters (Å, degrees): 5.837 5.837 5.837 60.00 60.00 60.00
Last column: magnetic moment on the atom in μB.
Atoms (fractional coordinates):
1 Eu 0.750 0.750 0.750  6.89
2 Ac 0.500 0.500 0.500  0.11
3 Ce 0.250 0.250 0.250  1.03
4 Sc 0.000 0.000 0.000  0.25

ΔH_f (0 K), eV/atom: 0.29
DFT total energy, Ry/atom: -0.468

---

[4]
Below is a relaxed CsLiRuO4 crystal, with properties calculated at the PBE-GGA level.

Lattice parameters (Å, degrees): 5.366 6.068 8.874 90.00 113.69 90.00
Last column: magnetic moment on the atom in μB.
Atoms (fractional coordinates):
1 Li 0.137 0.250 0.474  0.01
2 O 0.784 0.250 0.873  0.16
3 Ru 0.831 0.250 0.685  1.06
4 O 0.967 0.983 0.327  0.17
5 O 0.967 0.517 0.327  0.17
6 O 0.216 0.750 0.127  0.16
7 Cs 0.432 0.250 0.140  0.01
8 O 0.517 0.250 0.508  0.19
9 O 0.033 0.017 0.673  0.17
10 Cs 0.568 0.750 0.860  0.01
11 O 0.033 0.483 0.673  0.17
12 O 0.483 0.750 0.492  0.19
13 Li 0.863 0.750 0.526  0.01
14 Ru 0.169 0.750 0.315  1.06

Uncorrected formation energy, meV/atom: -1302.8
DFT total energy, Ry/atom: -0.430

---

[5]
Below is a relaxed HoGa6 crystal, with properties calculated at the PBE-GGA level.

Lattice parameters (Å, degrees): 5.975 5.975 7.561 90.00 90.00 90.00
Atoms (fractional coordinates):
1 Ga 0.000 0.000 0.838
2 Ga 0.176 0.324 0.353
3 Ho 0.500 0.000 0.000
4 Ga 0.500 0.500 0.838
5 Ga 0.676 0.176 0.353
6 Ga 0.324 0.176 0.647
7 Ho 0.000 0.500 0.000
8 Ga 0.824 0.324 0.647
9 Ga 0.176 0.676 0.647
10 Ga 0.000 0.000 0.162
11 Ga 0.824 0.676 0.353
12 Ga 0.676 0.824 0.647
13 Ga 0.500 0.500 0.162
14 Ga 0.324 0.824 0.353

Polymorph energy (0 for the lowest one), meV per atom: 0.0
ΔH_f (0 K), eV/atom: -0.30
DFT total energy, Ry/atom: -0.261

---

[6]
Below is a relaxed HoMg4Zn2 crystal, with properties calculated at the PBE-GGA level.

Lattice parameters (Å, degrees): 4.259 4.255 8.592 104.34 90.00 90.00
Atoms (fractional coordinates):
1 Mg 0.500 0.177 0.354
2 Zn 0.500 0.572 0.145
3 Ho 0.000 0.000 0.000
4 Mg 0.500 0.823 0.646
5 Mg 0.000 0.322 0.644
6 Mg 0.000 0.678 0.356
7 Zn 0.500 0.428 0.855

ΔH_f (0 K), eV/atom: -0.14
DFT total energy, Ry/atom: -0.152

---

[7]
Below is a relaxed CuRuCl crystal, with properties calculated at the PBE-GGA level.

Lattice parameters (Å, degrees): 6.115 6.115 6.115 152.34 152.34 39.52
Last column: magnetic moment on the atom in μB.
Atoms (fractional coordinates):
1 Cl 0.023 0.023 0.000  0.14
2 Cu 0.307 0.307 0.000  0.20
3 Ru 0.670 0.670 0.000  1.57

Polymorph energy (0 for the lowest one), meV per atom: 117.5
Uncorrected formation energy, meV/atom: 570.4
DFT total energy, Ry/atom: -0.331

---

[8]
Below is a relaxed TaIrS2 crystal, with properties calculated at the PBE-GGA level.

Lattice parameters (Å, degrees): 8.082 8.082 8.082 22.32 22.32 22.32
Atoms (fractional coordinates):
1 Ta 0.500 0.500 0.500
2 S 0.904 0.904 0.904
3 S 0.096 0.096 0.096
4 Ir 0.000 0.000 0.000

Polymorph energy (0 for the lowest one), meV per atom: 0.0
Uncorrected formation energy, meV/atom: -429.1
DFT total energy, Ry/atom: -0.564

---

| no. | size of the total moment (μB/cell) | theoretical density (g cm⁻³) |
| --- | --- | --- |
| 1 | 0.424 | 9.56 |
| 2 | 0.000 | 6.14 |
| 3 | 9.289 | 6.66 |
| 4 | 4.017 | 3.83 |
| 5 | 0.000 | 7.18 |
| 6 | 0.000 | 4.33 |
| 7 | 1.965 | 6.75 |
| 8 | 0.000 | 10.88 |